[1]
4
Lattice="7.080 -1.667 0.000 7.080 1.667 0.000 -1.822 0.000 5.488" Properties=species:S:1:pos:R:3 comment="PBE CsBS2, optimized geometry" de_polymorph_mev_per_atom=289 dft_energy_ev_per_cell=-18.2 raw_formation_energy_kj_per_mol_atoms=-58 volume_a3_per_atom=32.40 space_group="Cm, No. 8" m_tot_mub_per_cell=0.0 pbc="T T T"
Cs 0.000 0.000 0.000
B 3.920 0.000 1.536
S 5.365 0.000 2.491
S 10.155 0.000 0.899

=====

[2]
4
Lattice="4.660 0.000 0.000 0.000 4.660 0.000 0.000 0.000 3.256" Properties=species:S:1:pos:R:3 comment="PBE ErNbTc2, optimized geometry" formation_energy_ev_per_atom=-0.053 dft_energy_ev_per_cell=-35.6 volume_a3_per_atom=17.67 space_group="P4/mmm, No. 123" m_tot_mub_per_cell=0.0 pbc="T T T"
Er 0.000 0.000 0.000
Nb 2.330 2.330 0.000
Tc 0.000 2.330 1.628
Tc 2.330 0.000 1.628

=====

[3]
3
Lattice="-2.371 2.371 3.740 2.371 -2.371 3.740 2.371 2.371 -3.740" Properties=species:S:1:pos:R:3 comment="PBE BaAsH, optimized geometry" de_polymorph_mev_per_atom=75 dft_energy_ev_per_cell=-11.9 volume_a3_per_atom=28.04 space_group="I4mm, No. 107" m_tot_mub_per_cell=0.0 pbc="T T T"
Ba 0.000 0.000 0.000
As 0.000 0.000 3.151
H 0.000 0.000 4.701

=====

[4]
5
Lattice="4.391 0.000 0.000 0.000 4.391 0.000 0.000 0.000 4.391" Properties=species:S:1:pos:R:3 comment="PBE TaAgF3, optimized geometry" de_polymorph_mev_per_atom=1328 dft_energy_ev_per_cell=-20.9 raw_formation_energy_kj_per_mol_atoms=-12 volume_a3_per_atom=16.93 space_group="Pm-3m, No. 221" m_tot_mub_per_cell=3.2 pbc="T T T"
Ta 0.000 0.000 0.000
Ag 2.195 2.195 2.195
F 0.000 2.195 2.195
F 2.195 0.000 2.195
F 2.195 2.195 0.000

=====

Please write out number 2 again, unchanged.
4
Lattice="4.660 0.000 0.000 0.000 4.660 0.000 0.000 0.000 3.256" Properties=species:S:1:pos:R:3 comment="PBE ErNbTc2, optimized geometry" formation_energy_ev_per_atom=-0.053 dft_energy_ev_per_cell=-35.6 volume_a3_per_atom=17.67 space_group="P4/mmm, No. 123" m_tot_mub_per_cell=0.0 pbc="T T T"
Er 0.000 0.000 0.000
Nb 2.330 2.330 0.000
Tc 0.000 2.330 1.628
Tc 2.330 0.000 1.628